HoZn3Au4: optimized geometry, PBE.

Computed properties:
Electronic total energy: -3.110 eV per atom

Geometry as CIF:
```
data_HoZn3Au4
_chemical_formula_sum 'Ho1 Zn3 Au4'
_space_group_name_H-M_alt 'P 1'
_space_group_IT_number 1
_cell_length_a 4.5232
_cell_length_b 4.5232
_cell_length_c 8.6461
_cell_angle_alpha 74.84
_cell_angle_beta 74.84
_cell_angle_gamma 60.00
loop_
_space_group_symop_operation_xyz
'x,y,z'
loop_
_atom_site_label
_atom_site_fract_x
_atom_site_fract_y
_atom_site_fract_z
Au1 0.3925 0.3925 0.8224
Au2 0.8702 0.8702 0.3893
Ho1 0.0000 0.0000 0.0000
Zn1 0.7519 0.7519 0.7443
Au3 0.1298 0.1298 0.6107
Zn2 0.5000 0.5000 0.5000
Zn3 0.2481 0.2481 0.2557
Au4 0.6075 0.6075 0.1776
```